Entry 1:
A geometry-optimized Ca2BiSb structure. Source: Alexandria, functional PBE-GGA.

```
data_Ca2BiSb
_chemical_formula_sum 'Ca8 Bi4 Sb4'
_cell_length_a 7.8684
_cell_length_b 7.8684
_cell_length_c 7.8684
_cell_angle_alpha 90.00
_cell_angle_beta 90.00
_cell_angle_gamma 90.00
_space_group_name_H-M_alt 'F m -3 m'
_space_group_IT_number 225
_space_group_name_Hall '-F 4 2 3'
loop_
_atom_site_label
_atom_site_type_symbol
_atom_site_fract_x
_atom_site_fract_y
_atom_site_fract_z
Ca1 Ca 0.2500 0.2500 0.2500
Bi1 Bi 0.0000 0.0000 0.0000
Sb1 Sb 0.0000 0.0000 0.5000
```

Computed properties:
V in Å³ per cell: 487.15
Relative energy among the computed polymorphs in kJ per mole of atoms: 4.7

Entry 2:
A geometry-optimized CaBiSb2 structure. Source: Alexandria, functional PBE-GGA.

```
data_CaBiSb2
_chemical_formula_sum 'Ca3 Bi3 Sb6'
_cell_length_a 4.3362
_cell_length_b 4.3362
_cell_length_c 24.0766
_cell_angle_alpha 90.00
_cell_angle_beta 90.00
_cell_angle_gamma 120.00
_space_group_name_H-M_alt 'R -3 m'
_space_group_IT_number 166
_space_group_name_Hall '-R 3 2"'
loop_
_atom_site_label
_atom_site_type_symbol
_atom_site_fract_x
_atom_site_fract_y
_atom_site_fract_z
Ca1 Ca 0.0000 0.0000 0.0000
Bi1 Bi 0.0000 0.0000 0.5000
Sb1 Sb 0.0000 0.0000 0.2467
```

Computed properties:
Electronic total energy in Ry/atom: -0.283
V in Å³ per cell: 392.05

Entry 3:
A geometry-optimized Ca2BiSb2 structure. Source: Alexandria, functional PBE-GGA.

```
data_Ca2BiSb2
_chemical_formula_sum 'Ca4 Bi2 Sb4'
_cell_length_a 5.5760
_cell_length_b 5.5760
_cell_length_c 11.0817
_cell_angle_alpha 90.00
_cell_angle_beta 90.00
_cell_angle_gamma 90.00
_space_group_name_H-M_alt 'I 4/m m m'
_space_group_IT_number 139
_space_group_name_Hall '-I 4 2'
loop_
_atom_site_label
_atom_site_type_symbol
_atom_site_fract_x
_atom_site_fract_y
_atom_site_fract_z
Ca1 Ca 0.0000 0.5000 0.2500
Bi1 Bi 0.0000 0.0000 0.0000
Sb1 Sb 0.0000 0.0000 0.3750
```

Computed properties:
V in Å³ per cell: 344.55
Relative energy among the computed polymorphs in kJ per mole of atoms: 31.2

Entry 4:
A geometry-optimized CaBi3Sb structure. Source: Alexandria, functional PBE-GGA.

```
data_CaBi3Sb
_chemical_formula_sum 'Ca1 Bi3 Sb1'
_cell_length_a 5.8633
_cell_length_b 5.8633
_cell_length_c 5.8633
_cell_angle_alpha 90.00
_cell_angle_beta 90.00
_cell_angle_gamma 90.00
_space_group_name_H-M_alt 'P m -3 m'
_space_group_IT_number 221
_space_group_name_Hall '-P 4 2 3'
loop_
_atom_site_label
_atom_site_type_symbol
_atom_site_fract_x
_atom_site_fract_y
_atom_site_fract_z
Ca1 Ca 0.0000 0.0000 0.0000
Bi1 Bi 0.0000 0.5000 0.5000
Sb1 Sb 0.5000 0.5000 0.5000
```

Computed properties:
V in Å³ per cell: 201.57
Relative energy among the computed polymorphs in kJ per mole of atoms: 0.0

Entry 5:
A geometry-optimized CaBi3Sb structure. Source: Alexandria, functional PBE-GGA.

```
data_CaBi3Sb
_chemical_formula_sum 'Ca1 Bi3 Sb1'
_cell_length_a 5.8043
_cell_length_b 5.8043
_cell_length_c 5.8043
_cell_angle_alpha 90.00
_cell_angle_beta 90.00
_cell_angle_gamma 90.00
_space_group_name_H-M_alt 'P m -3 m'
_space_group_IT_number 221
_space_group_name_Hall '-P 4 2 3'
loop_
_atom_site_label
_atom_site_type_symbol
_atom_site_fract_x
_atom_site_fract_y
_atom_site_fract_z
Ca1 Ca 0.0000 0.0000 0.0000
Bi1 Bi 0.0000 0.0000 0.5000
Sb1 Sb 0.5000 0.5000 0.5000
```

Computed properties:
V in Å³ per cell: 195.55
Relative energy among the computed polymorphs in kJ per mole of atoms: 32.8

Entry 6:
A geometry-optimized Ca2BiSb structure. Source: Alexandria, functional PBE-GGA.

```
data_Ca2BiSb
_chemical_formula_sum 'Ca8 Bi4 Sb4'
_cell_length_a 8.6023
_cell_length_b 8.6023
_cell_length_c 7.0100
_cell_angle_alpha 90.00
_cell_angle_beta 90.00
_cell_angle_gamma 90.00
_space_group_name_H-M_alt 'I -4 2 d'
_space_group_IT_number 122
_space_group_name_Hall 'I -4 2bw'
loop_
_atom_site_label
_atom_site_type_symbol
_atom_site_fract_x
_atom_site_fract_y
_atom_site_fract_z
Ca1 Ca 0.2399 0.2500 0.1250
Bi1 Bi 0.0000 0.0000 0.5000
Sb1 Sb 0.0000 0.0000 0.0000
```

Computed properties:
V in Å³ per cell: 518.74
Relative energy among the computed polymorphs in kJ per mole of atoms: 14.7

Entry 7:
A geometry-optimized Ca3BiSb structure. Source: Alexandria, functional PBE-GGA.

```
data_Ca3BiSb
_chemical_formula_sum 'Ca3 Bi1 Sb1'
_cell_length_a 5.8602
_cell_length_b 5.8602
_cell_length_c 5.8602
_cell_angle_alpha 90.00
_cell_angle_beta 90.00
_cell_angle_gamma 90.00
_space_group_name_H-M_alt 'P m -3 m'
_space_group_IT_number 221
_space_group_name_Hall '-P 4 2 3'
loop_
_atom_site_label
_atom_site_type_symbol
_atom_site_fract_x
_atom_site_fract_y
_atom_site_fract_z
Ca1 Ca 0.0000 0.0000 0.5000
Bi1 Bi 0.0000 0.0000 0.0000
Sb1 Sb 0.5000 0.5000 0.5000
```

Computed properties:
V in Å³ per cell: 201.25
Relative energy among the computed polymorphs in kJ per mole of atoms: 44.9

Entry 8:
A geometry-optimized CaBiSb3 structure. Source: Alexandria, functional PBE-GGA.

```
data_CaBiSb3
_chemical_formula_sum 'Ca1 Bi1 Sb3'
_cell_length_a 5.8215
_cell_length_b 5.8215
_cell_length_c 5.8215
_cell_angle_alpha 90.00
_cell_angle_beta 90.00
_cell_angle_gamma 90.00
_space_group_name_H-M_alt 'P m -3 m'
_space_group_IT_number 221
_space_group_name_Hall '-P 4 2 3'
loop_
_atom_site_label
_atom_site_type_symbol
_atom_site_fract_x
_atom_site_fract_y
_atom_site_fract_z
Ca1 Ca 0.0000 0.0000 0.0000
Bi1 Bi 0.5000 0.5000 0.5000
Sb1 Sb 0.0000 0.5000 0.5000
```

Computed properties:
V in Å³ per cell: 197.29
Relative energy among the computed polymorphs in kJ per mole of atoms: 0.0